No. 1
A plane-wave DFT calculation with PBE-GGA was carried out for a relaxed structure of TaTl2Si.

a b c (Å): 10.865 10.865 10.865
angles (deg): 16.37 16.37 16.37
Element x y z (fractional)
Ta: 0.000 0.000 0.000
Tl: 0.253 0.253 0.253
Tl: 0.747 0.747 0.747
Si: 0.500 0.500 0.500

Values from the calculation:
VASP energy ... -18.95 eV for the cell shown
E_form (uncorrected) ... 0.76 eV per atom
Polymorph energy (0 for the lowest one) ... 485.1 meV/atom
Crystal system ... trigonal
Total moment ... 0.00 μB per formula unit

No. 2
A plane-wave DFT calculation with PBE-GGA was carried out for a relaxed structure of CsNaUTe3.

a b c (Å): 10.067 4.674 11.145
angles (deg): 90.00 109.12 90.00
Element x y z (fractional)
Cs: 0.229 0.250 0.265
Cs: 0.771 0.750 0.735
Na: 0.072 0.250 0.603
Na: 0.928 0.750 0.397
U: 0.322 0.750 0.854
U: 0.678 0.250 0.146
Te: 0.133 0.250 0.886
Te: 0.246 0.750 0.568
Te: 0.472 0.750 0.145
Te: 0.528 0.250 0.855
Te: 0.754 0.250 0.432
Te: 0.867 0.750 0.114

Values from the calculation:
VASP energy ... -55.95 eV for the cell shown
E_form (uncorrected) ... -0.85 eV per atom
Crystal system ... monoclinic
Total moment ... 2.00 μB per formula unit

No. 3
A plane-wave DFT calculation with PBE-GGA was carried out for a relaxed structure of Ba2ZrRu.

a b c (Å): 3.620 5.126 6.225
angles (deg): 90.00 90.00 90.00
Element x y z (fractional)
Ba: 0.000 0.000 0.243
Ba: 0.000 0.000 0.757
Zr: 0.500 0.500 0.500
Ru: 0.500 0.500 0.000

Values from the calculation:
VASP energy ... -18.03 eV for the cell shown
Polymorph energy (0 for the lowest one) ... 808.4 meV/atom
DFT formation energy ... 911 meV per atom
Crystal system ... orthorhombic
Total moment ... 0.00 μB per formula unit

No. 4
A plane-wave DFT calculation with PBE-GGA was carried out for a relaxed structure of MnOs2Cl.

a b c (Å): 8.631 8.631 8.631
angles (deg): 18.44 18.44 18.44
Element x y z (fractional)
Mn: 0.000 0.000 0.000
Os: 0.256 0.256 0.256
Os: 0.744 0.744 0.744
Cl: 0.500 0.500 0.500

Values from the calculation:
VASP energy ... -31.14 eV for the cell shown
E_form (uncorrected) ... 0.58 eV per atom
Polymorph energy (0 for the lowest one) ... 266.7 meV/atom
Crystal system ... trigonal
Total moment ... 0.05 μB per formula unit

No. 5
A plane-wave DFT calculation with PBE-GGA was carried out for a relaxed structure of PmC4.

a b c (Å): 4.609 4.609 4.609
angles (deg): 90.00 90.00 90.00
Element x y z (fractional)
Pm: 0.000 0.000 0.000
C: 0.000 0.000 0.500
C: 0.000 0.500 0.000
C: 0.500 0.000 0.000
C: 0.500 0.500 0.500

Values from the calculation:
VASP energy ... -20.50 eV for the cell shown
DFT formation energy ... 4230 meV per atom
Crystal system ... cubic
Total moment ... 0.59 μB per formula unit

No. 6
A plane-wave DFT calculation with PBE-GGA was carried out for a relaxed structure of Ti3NbSb.

a b c (Å): 7.248 7.248 5.724
angles (deg): 102.65 102.65 38.73
Element x y z (fractional)
Ti: 0.099 0.099 0.411
Ti: 0.302 0.302 0.349
Ti: 0.319 0.319 0.819
Ti: 0.681 0.681 0.181
Ti: 0.698 0.698 0.651
Ti: 0.901 0.901 0.589
Nb: 0.493 0.493 0.266
Nb: 0.507 0.507 0.734
Sb: 0.122 0.122 0.917
Sb: 0.878 0.878 0.083

Values from the calculation:
VASP energy ... -77.59 eV for the cell shown
E_form (uncorrected) ... -0.18 eV per atom
Polymorph energy (0 for the lowest one) ... 75.0 meV/atom
Crystal system ... monoclinic
Total moment ... 0.00 μB per formula unit

No. 7
A plane-wave DFT calculation with PBE-GGA was carried out for a relaxed structure of NaReWBr2.

a b c (Å): 5.402 5.402 4.893
angles (deg): 90.00 90.00 90.00
Element x y z (fractional)
Na: 0.000 0.000 0.000
Re: 0.500 0.500 0.000
W: 0.500 0.500 0.500
Br: 0.000 0.500 0.500
Br: 0.500 0.000 0.500

Values from the calculation:
VASP energy ... -25.22 eV for the cell shown
E_form (uncorrected) ... 0.97 eV per atom
Crystal system ... tetragonal
Total moment ... 0.68 μB per formula unit

No. 8
A plane-wave DFT calculation with PBE-GGA was carried out for a relaxed structure of CsLiHgF2.

a b c (Å): 4.612 4.612 5.427
angles (deg): 90.00 90.00 90.00
Element x y z (fractional)
Cs: 0.000 0.000 0.000
Li: 0.000 0.000 0.500
Hg: 0.500 0.500 0.000
F: 0.000 0.500 0.500
F: 0.500 0.000 0.500

Values from the calculation:
VASP energy ... -14.42 eV for the cell shown
E_form (uncorrected) ... -1.52 eV per atom
Crystal system ... tetragonal
Total moment ... 0.00 μB per formula unit

No. 9
A plane-wave DFT calculation with PBE-GGA was carried out for a relaxed structure of Zr2ReAsF.

a b c (Å): 4.534 4.534 4.137
angles (deg): 90.00 90.00 90.00
Element x y z (fractional)
Zr: 0.000 0.500 0.000
Zr: 0.500 0.000 0.000
Re: 0.000 0.000 0.500
As: 0.500 0.500 0.500
F: 0.000 0.000 0.000

Values from the calculation:
VASP energy ... -36.70 eV for the cell shown
E_form (uncorrected) ... -0.13 eV per atom
Crystal system ... tetragonal
Total moment ... 0.00 μB per formula unit

No. 10
A plane-wave DFT calculation with PBE-GGA was carried out for a relaxed structure of Zn2OsO6.

a b c (Å): 4.699 4.699 9.223
angles (deg): 90.00 90.00 90.00
Element x y z (fractional)
Zn: 0.000 0.000 0.161
Zn: 0.000 0.000 0.839
Zn: 0.500 0.500 0.339
Zn: 0.500 0.500 0.661
Os: 0.000 0.000 0.500
Os: 0.500 0.500 0.000
O: 0.193 0.193 0.351
O: 0.193 0.193 0.649
O: 0.218 0.218 0.000
O: 0.282 0.718 0.500
O: 0.307 0.693 0.149
O: 0.307 0.693 0.851
O: 0.693 0.307 0.149
O: 0.693 0.307 0.851
O: 0.718 0.282 0.500
O: 0.782 0.782 0.000
O: 0.807 0.807 0.351
O: 0.807 0.807 0.649

Values from the calculation:
VASP energy ... -105.15 eV for the cell shown
E_form (uncorrected) ... -1.01 eV per atom
Crystal system ... tetragonal
Total moment ... 0.00 μB per formula unit

No. 11
A plane-wave DFT calculation with PBE-GGA was carried out for a relaxed structure of ZnCuIr2.

a b c (Å): 4.302 4.302 4.302
angles (deg): 60.00 60.00 60.00
Element x y z (fractional)
Zn: 0.000 0.000 0.000
Cu: 0.250 0.250 0.250
Ir: 0.500 0.500 0.500
Ir: 0.750 0.750 0.750

Values from the calculation:
VASP energy ... -22.48 eV for the cell shown
DFT formation energy ... 154 meV per atom
Crystal system ... cubic
Total moment ... 0.07 μB per formula unit

No. 12
A plane-wave DFT calculation with PBE-GGA was carried out for a relaxed structure of Na3AgPt.

a b c (Å): 5.308 5.308 5.308
angles (deg): 90.00 90.00 90.00
Element x y z (fractional)
Na: 0.000 0.000 0.500
Na: 0.000 0.500 0.000
Na: 0.500 0.000 0.000
Ag: 0.000 0.000 0.000
Pt: 0.500 0.500 0.500

Values from the calculation:
VASP energy ... -10.48 eV for the cell shown
Polymorph energy (0 for the lowest one) ... 272.9 meV/atom
DFT formation energy ... 474 meV per atom
Crystal system ... cubic
Total moment ... 0.00 μB per formula unit